Entry 1:
Entry from Alexandria via LeMat-Bulk: an optimized crystal structure of Pr2Dy2H (PBE).

It has space group P4/mmm (No. 123), with a = 5.0936 Å, b = 5.0936 Å, c = 5.1173 Å, α = 90.00°, β = 90.00° and γ = 90.00°. The inequivalent atoms are Pr at (0.0000, 0.0000, 0.0000), Pr at (0.5000, 0.5000, 0.0000), Dy at (0.0000, 0.5000, 0.5000) and H at (0.0000, 0.0000, 0.5000).

As for the density of states at the Fermi level: 5.2 states/eV/cell. For the calculated total energy, the calculation gives -4.5896 eV/atom. As for the calculated density: 7.602 Mg/m³. Its spin magnetization is 0.00 μB/f.u.


Entry 2:
Entry from Alexandria via LeMat-Bulk: an optimized crystal structure of PrDyH (PBE).

It has space group I4mm (No. 107), with a = 3.4642 Å, b = 3.4642 Å, c = 12.2800 Å, α = 90.00°, β = 90.00° and γ = 90.00°. The inequivalent atoms are Pr at (0.0000, 0.0000, 0.0000), Dy at (0.0000, 0.0000, 0.2893) and H at (0.0000, 0.0000, 0.4703).

As for the density of states at the Fermi level: 5.8 states/eV/cell. For the calculated total energy, the calculation gives -4.3575 eV/atom. As for the calculated density: 6.860 Mg/m³. Its spin magnetization is 0.00 μB/f.u.


Entry 3:
Entry from Alexandria via LeMat-Bulk: an optimized crystal structure of Pr2DyH8 (PBE).

It has space group Immm (No. 71), with a = 3.8265 Å, b = 5.2917 Å, c = 11.4521 Å, α = 90.00°, β = 90.00° and γ = 90.00°. The inequivalent atoms are Pr at (0.0000, 0.0000, 0.1683), Dy at (0.0000, 0.0000, 0.5000), H at (0.0000, 0.2506, 0.0000), H at (0.0000, 0.2531, 0.3464) and H at (0.0000, 0.5000, 0.1662).

As for the density of states at the Fermi level: 3.2 states/eV/cell. For the calculated total energy, the calculation gives -4.3055 eV/atom. As for the calculated density: 6.479 Mg/m³. Its spin magnetization is 0.00 μB/f.u.


Entry 4:
Entry from Alexandria via LeMat-Bulk: an optimized crystal structure of Pr5Dy3H12 (PBE).

It has space group Ia-3d (No. 230), with a = 13.4972 Å, b = 13.4972 Å, c = 13.4972 Å, α = 90.00°, β = 90.00° and γ = 90.00°. The inequivalent atoms are Pr at (0.0000, 0.0000, 0.0000), Pr at (0.0000, 0.2500, 0.3750), Dy at (0.0000, 0.2500, 0.1250) and H at (0.0022, 0.0717, 0.1585).

As for the density of states at the Fermi level: 100.2 states/eV/cell. For the calculated total energy, the calculation gives -4.3148 eV/atom. As for the calculated density: 6.506 Mg/m³. Its spin magnetization is 0.00 μB/f.u.


Entry 5:
Entry from Alexandria via LeMat-Bulk: an optimized crystal structure of PrDy2H8 (PBE).

It has space group Immm (No. 71), with a = 3.7031 Å, b = 5.2866 Å, c = 11.1187 Å, α = 90.00°, β = 90.00° and γ = 90.00°. The inequivalent atoms are Pr at (0.0000, 0.0000, 0.0000), Dy at (0.0000, 0.0000, 0.3296), H at (0.0000, 0.2126, 0.5000), H at (0.0000, 0.2682, 0.1663) and H at (0.0000, 0.5000, 0.3423).

As for the density of states at the Fermi level: 2.2 states/eV/cell. For the calculated total energy, the calculation gives -4.3141 eV/atom. As for the calculated density: 7.232 Mg/m³. Its spin magnetization is 0.00 μB/f.u.


Entry 6:
Entry from Alexandria via LeMat-Bulk: an optimized crystal structure of Pr2DyH (PBE).

It has space group P4/mmm (No. 123), with a = 3.4693 Å, b = 3.4693 Å, c = 8.6826 Å, α = 90.00°, β = 90.00° and γ = 90.00°. The inequivalent atoms are Pr at (0.0000, 0.0000, 0.1910), Dy at (0.5000, 0.5000, 0.5000) and H at (0.5000, 0.5000, 0.0000).

As for the density of states at the Fermi level: 4.2 states/eV/cell. For the calculated total energy, the calculation gives -4.2885 eV/atom. As for the calculated density: 7.076 Mg/m³. Its spin magnetization is 0.00 μB/f.u.


Entry 7:
Entry from Alexandria via LeMat-Bulk: an optimized crystal structure of PrDyH4 (PBE).

It has space group P4/mmm (No. 123), with a = 3.7749 Å, b = 3.7749 Å, c = 5.3943 Å, α = 90.00°, β = 90.00° and γ = 90.00°. The inequivalent atoms are Pr at (0.0000, 0.0000, 0.0000), Dy at (0.5000, 0.5000, 0.5000) and H at (0.0000, 0.5000, 0.2687).

As for the density of states at the Fermi level: 1.8 states/eV/cell. For the calculated total energy, the calculation gives -4.4651 eV/atom. As for the calculated density: 6.641 Mg/m³. Its spin magnetization is 0.00 μB/f.u.


Entry 8:
Entry from Alexandria via LeMat-Bulk: an optimized crystal structure of PrDyH (PBE).

It has space group P3m1 (No. 156), with a = 3.6899 Å, b = 3.6899 Å, c = 5.8087 Å, α = 90.00°, β = 90.00° and γ = 120.00°. The inequivalent atoms are Pr at (0.0000, 0.0000, 0.0000), Dy at (0.6667, 0.3333, 0.5175) and H at (0.3333, 0.6667, 0.7382).

As for the density of states at the Fermi level: 2.8 states/eV/cell. For the calculated total energy, the calculation gives -4.4524 eV/atom. As for the calculated density: 7.380 Mg/m³. Its spin magnetization is 0.00 μB/f.u.


Entry 9:
Entry from Alexandria via LeMat-Bulk: an optimized crystal structure of Pr2DyH (PBE).

It has space group R-3m (No. 166, hexagonal axes), with a = 3.7032 Å, b = 3.7032 Å, c = 26.6075 Å, α = 90.00°, β = 90.00° and γ = 120.00°. The inequivalent atoms are Pr at (0.0000, 0.0000, 0.2229), Dy at (0.0000, 0.0000, 0.0000) and H at (0.0000, 0.0000, 0.5000).

As for the density of states at the Fermi level: 9.0 states/eV/cell. For the calculated total energy, the calculation gives -4.5165 eV/atom. As for the calculated density: 7.020 Mg/m³. Its spin magnetization is 0.00 μB/f.u.


Entry 10:
Entry from Alexandria via LeMat-Bulk: an optimized crystal structure of PrDyH (PBE).

It has space group P-6m2 (No. 187), with a = 3.5453 Å, b = 3.5453 Å, c = 12.3532 Å, α = 90.00°, β = 90.00° and γ = 120.00°. The inequivalent atoms are Pr at (0.0000, 0.0000, 0.2382), Dy at (0.0000, 0.0000, 0.5000), Dy at (0.6667, 0.3333, 0.0000) and H at (0.6667, 0.3333, 0.3909).

As for the density of states at the Fermi level: 6.2 states/eV/cell. For the calculated total energy, the calculation gives -4.3414 eV/atom. As for the calculated density: 7.518 Mg/m³. Its spin magnetization is 0.00 μB/f.u.


Entry 11:
Entry from Alexandria via LeMat-Bulk: an optimized crystal structure of Pr2DyH12Rh3 (PBE).

It has space group R-3m (No. 166, hexagonal axes), with a = 6.6072 Å, b = 6.6072 Å, c = 14.3490 Å, α = 90.00°, β = 90.00° and γ = 120.00°. The inequivalent atoms are Pr at (0.0000, 0.0000, 0.1152), Dy at (0.0000, 0.0000, 0.5000), H at (0.0309, 0.5154, 0.8823), H at (0.0595, 0.5298, 0.3187) and Rh at (0.0000, 0.5000, 0.0000).

As for the density of states at the Fermi level: 15.6 states/eV/cell. For the calculated total energy, the calculation gives -4.6326 eV/atom. As for the calculated density: 7.026 Mg/m³. Its spin magnetization is 1.00 μB/f.u.


Entry 12:
Entry from Alexandria via LeMat-Bulk: an optimized crystal structure of Pr2Dy2Sb2H (PBE).

It has space group I4/mmm (No. 139), with a = 4.5906 Å, b = 4.5906 Å, c = 17.1669 Å, α = 90.00°, β = 90.00° and γ = 90.00°. The inequivalent atoms are Pr at (0.0000, 0.0000, 0.1780), Dy at (0.0000, 0.5000, 0.0000), Sb at (0.0000, 0.0000, 0.3687) and H at (0.0000, 0.0000, 0.0000).

As for the density of states at the Fermi level: 14.1 states/eV/cell. For the calculated total energy, the calculation gives -5.1762 eV/atom. As for the calculated density: 7.816 Mg/m³. Its spin magnetization is 0.00 μB/f.u.


Entry 13:
Entry from Alexandria via LeMat-Bulk: an optimized crystal structure of PrSmDy2H (PBE).

It has space group P4/mmm (No. 123), with a = 5.0658 Å, b = 5.0658 Å, c = 5.0730 Å, α = 90.00°, β = 90.00° and γ = 90.00°. The inequivalent atoms are Pr at (0.0000, 0.0000, 0.0000), Sm at (0.5000, 0.5000, 0.0000), Dy at (0.0000, 0.5000, 0.5000) and H at (0.5000, 0.5000, 0.5000).

As for the density of states at the Fermi level: 4.9 states/eV/cell. For the calculated total energy, the calculation gives -4.5803 eV/atom. As for the calculated density: 7.873 Mg/m³. Its spin magnetization is 0.00 μB/f.u.


Entry 14:
Entry from Alexandria via LeMat-Bulk: an optimized crystal structure of PrSm2DyH (PBE).

It has space group P4/mmm (No. 123), with a = 5.1062 Å, b = 5.1062 Å, c = 5.0888 Å, α = 90.00°, β = 90.00° and γ = 90.00°. The inequivalent atoms are Pr at (0.0000, 0.0000, 0.0000), Sm at (0.0000, 0.5000, 0.5000), Dy at (0.5000, 0.5000, 0.0000) and H at (0.5000, 0.5000, 0.5000).

As for the density of states at the Fermi level: 4.5 states/eV/cell. For the calculated total energy, the calculation gives -4.6071 eV/atom. As for the calculated density: 7.573 Mg/m³. Its spin magnetization is 0.00 μB/f.u.


Entry 15:
Entry from Alexandria via LeMat-Bulk: an optimized crystal structure of Pr2SmDyH (PBE).

It has space group P4/mmm (No. 123), with a = 5.1706 Å, b = 5.1706 Å, c = 5.0797 Å, α = 90.00°, β = 90.00° and γ = 90.00°. The inequivalent atoms are Pr at (0.0000, 0.5000, 0.0000), Sm at (0.0000, 0.0000, 0.5000), Dy at (0.5000, 0.5000, 0.5000) and H at (0.5000, 0.5000, 0.0000).

As for the density of states at the Fermi level: 4.5 states/eV/cell. For the calculated total energy, the calculation gives -4.6152 eV/atom. As for the calculated density: 7.284 Mg/m³. Its spin magnetization is 0.00 μB/f.u.


Entry 16:
Entry from Alexandria via LeMat-Bulk: an optimized crystal structure of Tb2PrDyH (PBE).

It has space group P4/mmm (No. 123), with a = 5.0467 Å, b = 5.0467 Å, c = 5.0509 Å, α = 90.00°, β = 90.00° and γ = 90.00°. The inequivalent atoms are Tb at (0.0000, 0.5000, 0.0000), Pr at (0.0000, 0.0000, 0.5000), Dy at (0.5000, 0.5000, 0.5000) and H at (0.5000, 0.5000, 0.0000).

As for the density of states at the Fermi level: 4.6 states/eV/cell. For the calculated total energy, the calculation gives -4.5683 eV/atom. As for the calculated density: 8.032 Mg/m³. Its spin magnetization is 0.00 μB/f.u.


Entry 17:
Entry from Alexandria via LeMat-Bulk: an optimized crystal structure of Pr2Dy4Tl3H2 (PBE).

It has space group I4/mmm (No. 139), with a = 4.8198 Å, b = 4.8198 Å, c = 24.7457 Å, α = 90.00°, β = 90.00° and γ = 90.00°. The inequivalent atoms are Pr at (0.0000, 0.0000, 0.1967), Dy at (0.0000, 0.5000, 0.0821), Tl at (0.0000, 0.0000, 0.3301), Tl at (0.0000, 0.0000, 0.5000) and H at (0.0000, 0.0000, 0.0972).

As for the density of states at the Fermi level: 18.5 states/eV/cell. For the calculated total energy, the calculation gives -4.1078 eV/atom. As for the calculated density: 8.937 Mg/m³. Its spin magnetization is 0.00 μB/f.u.


Entry 18:
Entry from Alexandria via LeMat-Bulk: an optimized crystal structure of DyH3Pt (PBE).

It has space group Pm-3m (No. 221), with a = 3.7185 Å, b = 3.7185 Å, c = 3.7185 Å, α = 90.00°, β = 90.00° and γ = 90.00°. The inequivalent atoms are Dy at (0.0000, 0.0000, 0.0000), H at (0.0000, 0.5000, 0.5000) and Pt at (0.5000, 0.5000, 0.5000).

As for the density of states at the Fermi level: 2.6 states/eV/cell. For the calculated total energy, the calculation gives -4.6117 eV/atom. As for the calculated density: 11.646 Mg/m³. Its spin magnetization is 0.00 μB/f.u.


Entry 19:
Entry from Alexandria via LeMat-Bulk: an optimized crystal structure of DyH2Pt (PBE).

It has space group P2_1/m (No. 11), with a = 3.7525 Å, b = 4.2852 Å, c = 6.2862 Å, α = 90.00°, β = 107.28° and γ = 90.00°. The inequivalent atoms are Dy at (0.1501, 0.2500, 0.2985), H at (0.0652, 0.7500, 0.1272), H at (0.2494, 0.7500, 0.4990) and Pt at (0.4264, 0.2500, 0.8567).

As for the density of states at the Fermi level: 1.7 states/eV/cell. For the calculated total energy, the calculation gives -5.0172 eV/atom. As for the calculated density: 12.373 Mg/m³. Its spin magnetization is 0.00 μB/f.u.


Entry 20:
Entry from Alexandria via LeMat-Bulk: an optimized crystal structure of Dy6HPt2 (PBE).

It has space group P2_1/c (No. 14), with a = 6.4310 Å, b = 7.0183 Å, c = 11.5911 Å, α = 90.00°, β = 123.32° and γ = 90.00°. The inequivalent atoms are Dy at (0.1112, 0.0260, 0.2506), Dy at (0.2371, 0.6764, 0.0620), Dy at (0.3865, 0.1787, 0.0603), H at (0.0000, 0.0000, 0.0000) and Pt at (0.3112, 0.1161, 0.7507).

As for the density of states at the Fermi level: 16.5 states/eV/cell. For the calculated total energy, the calculation gives -5.4973 eV/atom. As for the calculated density: 10.379 Mg/m³. Its spin magnetization is 0.00 μB/f.u.